No. 1
## Nd2HoZn2 (PBE)

Data for crystalline Nd2HoZn2 at its relaxed geometry.

Calculated values
total magnetization	1.09	Bohr magnetons per cell
energy relative to the elements	-0.1973	eV/atom

Lattice parameters (Å, degrees): 3.6561 20.3477 3.5638 90.00 90.00 90.00
Atoms (fractional coordinates):
Nd (0.0000, 0.1737, 0.0000)
Nd (0.0000, 0.8263, 0.0000)
Nd (0.5000, 0.3263, 0.0000)
Nd (0.5000, 0.6737, 0.0000)
Ho (0.0000, 0.0000, 0.0000)
Ho (0.5000, 0.5000, 0.0000)
Zn (0.0000, 0.4190, 0.5000)
Zn (0.0000, 0.5810, 0.5000)
Zn (0.5000, 0.0810, 0.5000)
Zn (0.5000, 0.9190, 0.5000)


No. 2
## Nd3HoZn2 (PBE)

Data for crystalline Nd3HoZn2 at its relaxed geometry.

Calculated values
total magnetization	0.00	Bohr magnetons per cell
energy relative to the elements	-0.1954	eV/atom

Lattice parameters (Å, degrees): 3.6817 3.6817 12.3338 90.00 90.00 90.00
Atoms (fractional coordinates):
Nd (0.0000, 0.0000, 0.0000)
Nd (0.0000, 0.0000, 0.2953)
Nd (0.0000, 0.0000, 0.7047)
Ho (0.5000, 0.5000, 0.5000)
Zn (0.5000, 0.5000, 0.1483)
Zn (0.5000, 0.5000, 0.8517)


No. 3
## NdHo2Zn (PBE)

Data for crystalline NdHo2Zn at its relaxed geometry.

Calculated values
total magnetization	0.00	Bohr magnetons per cell
energy relative to the elements	-0.0287	eV/atom

Lattice parameters (Å, degrees): 4.7666 4.7666 4.7883 90.00 90.00 90.00
Atoms (fractional coordinates):
Nd (0.0000, 0.0000, 0.0000)
Ho (0.0000, 0.5000, 0.5000)
Ho (0.5000, 0.0000, 0.5000)
Zn (0.5000, 0.5000, 0.0000)


No. 4
## Nd2HoZn (PBE)

Data for crystalline Nd2HoZn at its relaxed geometry.

Calculated values
total magnetization	0.00	Bohr magnetons per cell
energy relative to the elements	0.0263	eV/atom

Lattice parameters (Å, degrees): 7.7013 7.7013 7.7013 90.00 90.00 90.00
Atoms (fractional coordinates):
Nd (0.2500, 0.2500, 0.2500)
Nd (0.2500, 0.2500, 0.7500)
Nd (0.2500, 0.7500, 0.2500)
Nd (0.2500, 0.7500, 0.7500)
Nd (0.7500, 0.2500, 0.2500)
Nd (0.7500, 0.2500, 0.7500)
Nd (0.7500, 0.7500, 0.2500)
Nd (0.7500, 0.7500, 0.7500)
Ho (0.0000, 0.0000, 0.0000)
Ho (0.0000, 0.5000, 0.5000)
Ho (0.5000, 0.0000, 0.5000)
Ho (0.5000, 0.5000, 0.0000)
Zn (0.0000, 0.0000, 0.5000)
Zn (0.0000, 0.5000, 0.0000)
Zn (0.5000, 0.0000, 0.0000)
Zn (0.5000, 0.5000, 0.5000)


Q: Look up the total magnetization of the fourth one.
A: 0.00 Bohr magnetons per cell


Q: Among the records above, which one has the highest energy relative to the elements?
A: Nd2HoZn


Q: total magnetization of number 2 (Nd3HoZn2)?
A: 0.00 Bohr magnetons per cell